(1)
The following is a DFT calculation (PBE) of a relaxed NaZnPO4 crystal.

## Properties
The energy relative to the lowest polymorph listed for this composition comes out at 0.069 eV/atom.

a = 5.389 Å, b = 5.389 Å, c = 6.029 Å
α = 90.00°, β = 90.00°, γ = 113.63°
Atoms (fractional coordinates):
O: 0.677 0.740 0.250
O: 0.740 0.677 0.750
O: 0.259 0.741 0.045
Na: 0.000 0.000 0.500
O: 0.260 0.323 0.250
O: 0.741 0.259 0.545
P: 0.637 0.363 0.750
Zn: 0.657 0.343 0.250
Zn: 0.343 0.657 0.750
O: 0.741 0.259 0.955
Na: 0.000 0.000 0.000
O: 0.259 0.741 0.455
P: 0.363 0.637 0.250
O: 0.323 0.260 0.750

(2)
The following is a DFT calculation (PBE) of a relaxed PrReNO crystal.

## Properties
The energy relative to the lowest polymorph listed for this composition comes out at 0.217 eV/atom.

a = 4.003 Å, b = 5.357 Å, c = 5.514 Å
α = 90.00°, β = 90.00°, γ = 90.00°
Atoms (fractional coordinates):
O: 0.500 0.815 0.534
N: 0.000 0.484 0.734
Re: 0.000 0.746 0.496
N: 0.000 0.516 0.234
O: 0.500 0.185 0.034
Re: 0.000 0.254 0.996
Pr: 0.500 0.749 0.982
Pr: 0.500 0.251 0.482

(3)
The following is a DFT calculation (PBE) of a relaxed Nd2Y2BIBr4 crystal.

## Properties
The total DFT energy (no corrections) comes out at -5.09 eV per atom.

a = 9.368 Å, b = 9.368 Å, c = 8.580 Å
α = 103.30°, β = 103.30°, γ = 24.82°
Atoms (fractional coordinates):
Y: 0.000 0.000 0.198
Y: 0.000 0.000 0.802
I: 0.500 0.500 0.500
Br: 0.168 0.168 0.829
B: 0.500 0.500 0.000
Nd: 0.354 0.354 0.923
Nd: 0.646 0.646 0.077
Br: 0.832 0.832 0.171
Br: 0.837 0.837 0.663
Br: 0.163 0.163 0.337

(4)
The following is a DFT calculation (PBE) of a relaxed CoSN crystal.

## Properties
The energy relative to the lowest polymorph listed for this composition comes out at 0.495 eV/atom.

a = 4.859 Å, b = 2.770 Å, c = 6.927 Å
α = 90.00°, β = 98.83°, γ = 90.00°
Last column: magnetic moment on the atom in μB.
Atoms (fractional coordinates):
S: 0.204 0.500 0.217  0.00
Co: 0.500 0.500 0.000  0.49
Co: 0.500 0.500 0.500  0.69
N: 0.570 0.500 0.258  0.03
N: 0.430 0.500 0.742  0.03
S: 0.796 0.500 0.783  0.00